1.
DFT (PBE-GGA) results for a relaxed structure of MgNi2Pb.

Properties
Its formation energy is 20 kJ/mol of formula units. The uncorrected energy comes out at -4.164 eV/atom. As for the density: 9.14 g/cm³.

abc: 3.852 3.852 8.541
angles: 90.00 90.00 90.00
Space group I-4m2 (No. 119)
Inequivalent atoms, fractional coordinates:
Mg1 0.000 0.000 0.000 (multiplicity 2)
Ni1 0.000 0.000 0.500 (multiplicity 2)
Ni2 0.000 0.500 0.750 (multiplicity 2)
Pb1 0.000 0.500 0.250 (multiplicity 2)

2.
DFT (PBE-GGA) results for a relaxed structure of NdMgPdRh.

Properties
Its formation energy is -237 kJ/mol of formula units. The uncorrected energy comes out at -5.340 eV/atom. As for the density: 7.95 g/cm³.

abc: 6.808 6.808 6.808
angles: 90.00 90.00 90.00
Space group F-43m (No. 216)
Inequivalent atoms, fractional coordinates:
Nd1 0.000 0.000 0.000 (multiplicity 4)
Mg1 0.000 0.000 0.500 (multiplicity 4)
Pd1 0.250 0.250 0.250 (multiplicity 4)
Rh1 0.250 0.250 0.750 (multiplicity 4)

3.
DFT (PBE-GGA) results for a relaxed structure of AcHoAlAg.

Properties
Its formation energy is -89 kJ/mol of formula units. The uncorrected energy comes out at -4.050 eV/atom. As for the density: 7.87 g/cm³.

abc: 7.633 7.633 7.633
angles: 90.00 90.00 90.00
Space group F-43m (No. 216)
Inequivalent atoms, fractional coordinates:
Ac1 0.000 0.000 0.000 (multiplicity 4)
Ho1 0.000 0.000 0.500 (multiplicity 4)
Al1 0.250 0.250 0.750 (multiplicity 4)
Ag1 0.250 0.250 0.250 (multiplicity 4)

4.
DFT (PBE-GGA) results for a relaxed structure of Ac3PmTh2P6.

Properties
Its formation energy is -1759 kJ/mol of formula units. The uncorrected energy comes out at -6.884 eV/atom. As for the density: 7.35 g/cm³.

abc: 7.397 12.818 7.457
angles: 90.00 109.29 90.00
Space group C2/m (No. 12)
Inequivalent atoms, fractional coordinates:
Ac1 0.000 0.000 0.000 (multiplicity 2)
Ac2 0.000 0.334 0.000 (multiplicity 4)
Pm1 0.000 0.500 0.500 (multiplicity 2)
Th1 0.000 0.167 0.500 (multiplicity 4)
P1 0.240 0.000 0.730 (multiplicity 4)
P2 0.245 0.332 0.730 (multiplicity 8)

5.
DFT (PBE-GGA) results for a relaxed structure of LaNb2Ge.

Properties
Its formation energy is 134 kJ/mol of formula units. The uncorrected energy comes out at -7.074 eV/atom. As for the density: 7.12 g/cm³.

abc: 8.058 8.058 5.705
angles: 90.00 90.00 90.00
Space group I-42d (No. 122)
Inequivalent atoms, fractional coordinates:
La1 0.000 0.000 0.000 (multiplicity 4)
Nb1 0.188 0.250 0.625 (multiplicity 8)
Ge1 0.000 0.000 0.500 (multiplicity 4)

6.
DFT (PBE-GGA) results for a relaxed structure of SrYHgBi.

Properties
Its formation energy is -203 kJ/mol of formula units. The uncorrected energy comes out at -3.607 eV/atom. As for the density: 7.97 g/cm³.

abc: 7.875 7.875 7.875
angles: 90.00 90.00 90.00
Space group F-43m (No. 216)
Inequivalent atoms, fractional coordinates:
Sr1 0.000 0.000 0.000 (multiplicity 4)
Y1 0.000 0.000 0.500 (multiplicity 4)
Hg1 0.250 0.250 0.250 (multiplicity 4)
Bi1 0.250 0.250 0.750 (multiplicity 4)

7.
DFT (PBE-GGA) results for a relaxed structure of NaGa3Au.

Properties
Its formation energy is -91 kJ/mol of formula units. The uncorrected energy comes out at -2.925 eV/atom. As for the density: 6.91 g/cm³. The value obtained for the energy above the lowest structure with this stoichiometry is 46 meV per atom.

abc: 7.977 4.371 11.834
angles: 90.00 90.00 90.00
Space group Pnma (No. 62)
Inequivalent atoms, fractional coordinates:
Na1 0.183 0.250 0.007 (multiplicity 4)
Ga1 0.077 0.250 0.405 (multiplicity 4)
Ga2 0.083 0.750 0.189 (multiplicity 4)
Ga3 0.135 0.750 0.792 (multiplicity 4)
Au1 0.105 0.250 0.629 (multiplicity 4)

8.
DFT (PBE-GGA) results for a relaxed structure of Ti2PdS4.

Properties
The formation energy from raw total energies is -1.098 eV per atom. The uncorrected energy comes out at -6.454 eV/atom. As for the density: 4.20 g/cm³.

abc: 10.148 10.148 10.148
angles: 90.00 90.00 90.00
Space group Fd-3m (No. 227, origin choice 2)
Inequivalent atoms, fractional coordinates:
Ti1 0.000 0.000 0.000 (multiplicity 16)
Pd1 0.125 0.125 0.625 (multiplicity 8)
S1 0.008 0.008 0.242 (multiplicity 32)

9.
DFT (PBE-GGA) results for a relaxed structure of Nd2CdBi.

Properties
Its formation energy is -216 kJ/mol of formula units. The uncorrected energy comes out at -4.143 eV/atom. As for the density: 8.45 g/cm³. The value obtained for the energy above the lowest structure with this stoichiometry is 0 meV per atom.

abc: 4.124 4.124 7.050
angles: 90.00 90.00 90.00
Space group P4/mmm (No. 123)
Inequivalent atoms, fractional coordinates:
Nd1 0.000 0.000 0.249 (multiplicity 2)
Cd1 0.500 0.500 0.500 (multiplicity 1)
Bi1 0.500 0.500 0.000 (multiplicity 1)

10.
DFT (PBE-GGA) results for a relaxed structure of SrCoOs2.

Properties
Its formation energy is 275 kJ/mol of formula units. The uncorrected energy comes out at -7.099 eV/atom. As for the density: 13.09 g/cm³. The value obtained for the energy above the lowest structure with this stoichiometry is 446 meV per atom.

abc: 2.876 2.876 8.085
angles: 90.00 90.00 90.00
Space group P4/mmm (No. 123)
Inequivalent atoms, fractional coordinates:
Sr1 0.000 0.000 0.000 (multiplicity 1)
Co1 0.000 0.000 0.500 (multiplicity 1)
Os1 0.500 0.500 0.316 (multiplicity 2)

- What is the formula in the third record?
  AcHoAlAg

- Among the records above, which one has the highest uncorrected energy?
  NaGa3Au

- Which formula does entry 9 have?
  Nd2CdBi

- Which of these has the lowest uncorrected energy?
  SrCoOs2